Computed, not measured: a relaxed TlIn2Br crystal at the GGA-PBEsol level of DFT.

Cell lengths 3.4673, 3.4673, 9.8881 Å; angles 90.00, 90.00, 113.90 degrees
Sites, in units of the cell vectors:
Tl 0.5000 0.5000 0.5000
Br 0.5000 0.5000 0.0000
In 0.0000 0.0000 0.2351
In 0.0000 0.0000 0.7649

Computed properties:
energy above the lowest structure with this stoichiometry	0.148	eV/f.u.
space group	No. 65
energy relative to the elements, uncorrected	-0.1663	eV per atom

Computed, not measured: a relaxed CaNiMo2 crystal at the GGA-PBEsol level of DFT.

Cell lengths 2.6597, 2.6597, 9.0619 Å; angles 90.00, 90.00, 97.70 degrees
Sites, in units of the cell vectors:
Ca 0.5000 0.5000 0.0000
Mo 0.0000 0.0000 0.2942
Mo 0.0000 0.0000 0.7058
Ni 0.5000 0.5000 0.5000

Computed properties:
energy above the lowest structure with this stoichiometry	0.384	eV/f.u.
DFT formation energy	524	meV/atom
space group	No. 65

Computed, not measured: a relaxed Li2TiF6 crystal at the GGA-PBEsol level of DFT.

Cell lengths 4.6281, 4.6281, 8.8927 Å; angles 90.00, 90.00, 90.00 degrees
Sites, in units of the cell vectors:
Li 0.0000 0.0000 0.3383
Li 0.5000 0.5000 0.8383
Li 0.5000 0.5000 0.1617
Li 0.0000 0.0000 0.6617
Ti 0.0000 0.0000 0.0000
Ti 0.5000 0.5000 0.5000
F 0.2124 0.7876 0.5000
F 0.6946 0.6946 0.6548
F 0.2876 0.2876 0.0000
F 0.7124 0.7124 0.0000
F 0.7876 0.2124 0.5000
F 0.1946 0.8054 0.8452
F 0.3054 0.3054 0.3452
F 0.6946 0.6946 0.3452
F 0.8054 0.1946 0.8452
F 0.8054 0.1946 0.1548
F 0.1946 0.8054 0.1548
F 0.3054 0.3054 0.6548

Computed properties:
space group	No. 136
energy relative to the elements, uncorrected	-3.2631	eV per atom

E readings, ordered: -2.783; -7.433; -5.910 eV per atom